No. 1
# Pm6Pr8Tl

An optimized crystal structure of Pm6Pr8Tl (PBE, Alexandria via LeMat-Bulk). Values from VASP.

Computed properties:
- energy relative to the elements (eV per atom) = 0.066

Quantum ESPRESSO input file:
```
&SYSTEM
  ibrav = 0, nat = 15, ntyp = 3
/
ATOMIC_SPECIES
Pm 145.00 Pm.upf
Pr 140.91 Pr.upf
Tl 204.38 Tl.upf
ATOMIC_POSITIONS angstrom
Pm 5.029 0.460 -5.276
Pm 6.068 -3.195 -5.460
Pm 2.418 -2.282 -4.898
Pm 0.266 -7.504 -2.349
Pm -0.774 -3.849 -2.165
Pm 2.876 -4.762 -2.726
Pr -1.235 -2.331 -5.378
Pr 3.653 -5.510 -6.144
Pr -1.518 -8.205 -5.377
Pr 6.530 -4.713 -2.246
Pr 1.642 -1.534 -1.480
Pr 6.812 1.161 -2.247
Pr 0.254 -5.346 -5.936
Pr 5.041 -1.697 -1.689
Tl -0.503 0.024 -3.308
CELL_PARAMETERS angstrom
-1.006 0.047 -6.616
9.227 1.980 -1.388
-2.927 -9.071 0.380
```


No. 2
# Ac6La2Pm3Pr

An optimized crystal structure of Ac6La2Pm3Pr (PBE, Alexandria via LeMat-Bulk). Values from VASP.

Computed properties:
- energy relative to the elements (eV per atom) = 0.026

Quantum ESPRESSO input file:
```
&SYSTEM
  ibrav = 0, nat = 12, ntyp = 4
/
ATOMIC_SPECIES
Ac 227.00 Ac.upf
La 138.91 La.upf
Pm 145.00 Pm.upf
Pr 140.91 Pr.upf
ATOMIC_POSITIONS angstrom
Ac 4.786 2.985 8.253
Ac 0.413 -0.845 5.370
Ac 2.777 -1.266 2.337
Ac 6.498 -0.427 7.584
Ac 7.151 2.564 5.220
Ac 1.065 2.147 3.005
La -0.657 -2.989 2.365
La -2.365 0.416 3.032
Pm 5.492 -2.551 4.627
Pm 2.071 4.270 5.963
Pm 3.782 0.860 5.295
Pr 0.000 0.000 0.000
CELL_PARAMETERS angstrom
-4.077 3.829 3.701
1.055 -6.403 1.697
10.586 4.293 5.192
```


No. 3
# Dy2YErSe6

An optimized crystal structure of Dy2YErSe6 (PBE, Alexandria via LeMat-Bulk). Values from VASP.

Computed properties:
- ΔE_f (raw) (meV/atom) = -1854

Quantum ESPRESSO input file:
```
&SYSTEM
  ibrav = 0, nat = 10, ntyp = 4
/
ATOMIC_SPECIES
Dy 162.50 Dy.upf
Y 88.91 Y.upf
Er 167.26 Er.upf
Se 78.96 Se.upf
ATOMIC_POSITIONS angstrom
Dy 7.190 4.151 2.964
Dy 3.595 2.076 6.194
Y 3.595 2.075 0.293
Er 10.784 6.227 3.519
Se 6.094 1.890 1.638
Se 5.779 6.230 1.638
Se 9.696 4.333 1.639
Se 8.308 6.049 4.864
Se 8.275 2.234 4.864
Se 4.987 4.170 4.864
CELL_PARAMETERS angstrom
7.190 0.000 0.001
3.595 6.226 0.000
3.595 2.076 6.475
```


No. 4
# BaCdMo

An optimized crystal structure of BaCdMo (PBE, Alexandria via LeMat-Bulk). Values from VASP.

Computed properties:
- E above lowest polymorph (meV per atom) = 0
- energy relative to the elements (eV per atom) = 0.801

Quantum ESPRESSO input file:
```
&SYSTEM
  ibrav = 0, nat = 3, ntyp = 3
/
ATOMIC_SPECIES
Ba 137.33 Ba.upf
Cd 112.41 Cd.upf
Mo 95.94 Mo.upf
ATOMIC_POSITIONS angstrom
Ba 0.042 0.019 0.000
Cd 3.200 1.431 0.000
Mo 7.758 3.470 0.000
CELL_PARAMETERS angstrom
6.595 0.012 -0.010
4.406 4.908 0.010
-5.498 -2.466 2.681
```


No. 5
# PrPaGaAu

An optimized crystal structure of PrPaGaAu (PBE, Alexandria via LeMat-Bulk). Values from VASP.

Computed properties:
- energy relative to the elements (eV per atom) = -0.255

Quantum ESPRESSO input file:
```
&SYSTEM
  ibrav = 0, nat = 4, ntyp = 4
/
ATOMIC_SPECIES
Pr 140.91 Pr.upf
Pa 231.04 Pa.upf
Au 196.97 Au.upf
Ga 69.72 Ga.upf
ATOMIC_POSITIONS angstrom
Pr 5.204 3.004 2.124
Pa 0.000 0.000 0.000
Au 7.806 4.507 3.187
Ga 2.602 1.502 1.062
CELL_PARAMETERS angstrom
5.204 0.000 0.000
2.602 4.507 0.000
2.602 1.502 4.249
```


No. 6
# Mg2AsH2

An optimized crystal structure of Mg2AsH2 (PBE, Alexandria via LeMat-Bulk). Values from VASP.

Computed properties:
- E above lowest polymorph (meV per atom) = 0

Quantum ESPRESSO input file:
```
&SYSTEM
  ibrav = 0, nat = 5, ntyp = 3
/
ATOMIC_SPECIES
H 1.01 H.upf
As 74.92 As.upf
Mg 24.30 Mg.upf
ATOMIC_POSITIONS angstrom
H 2.236 2.236 0.407
H 4.473 4.473 3.153
As 0.000 0.000 0.000
Mg 4.473 2.236 1.780
Mg 2.236 4.473 1.780
CELL_PARAMETERS angstrom
4.473 0.000 0.000
0.000 4.473 0.000
2.236 2.236 3.560
```


No. 7
# Ac5Ga4Hg

An optimized crystal structure of Ac5Ga4Hg (PBE, Alexandria via LeMat-Bulk). Values from VASP.

Computed properties:
- energy relative to the elements (eV per atom) = -0.445

Quantum ESPRESSO input file:
```
&SYSTEM
  ibrav = 0, nat = 10, ntyp = 3
/
ATOMIC_SPECIES
Ac 227.00 Ac.upf
Ga 69.72 Ga.upf
Hg 200.59 Hg.upf
ATOMIC_POSITIONS angstrom
Ac 1.966 1.966 2.156
Ac 1.966 1.966 6.032
Ac 1.966 1.966 9.953
Ac 1.966 1.966 13.874
Ac 1.966 1.966 17.750
Ga 0.000 0.000 4.059
Ga 0.000 0.000 8.013
Ga 0.000 0.000 11.893
Ga 0.000 0.000 15.847
Hg 0.000 0.000 0.000
CELL_PARAMETERS angstrom
3.933 0.000 0.000
0.000 3.933 0.000
0.000 0.000 19.906
```


No. 8
# CaCoRh4

An optimized crystal structure of CaCoRh4 (PBE, Alexandria via LeMat-Bulk). Values from VASP.

Computed properties:
- energy relative to the elements (eV per atom) = 0.111

Quantum ESPRESSO input file:
```
&SYSTEM
  ibrav = 0, nat = 6, ntyp = 3
/
ATOMIC_SPECIES
Ca 40.08 Ca.upf
Co 58.93 Co.upf
Rh 102.91 Rh.upf
ATOMIC_POSITIONS angstrom
Ca 5.518 5.518 5.518
Co 0.000 0.000 0.000
Rh 2.756 4.602 4.602
Rh 4.602 4.602 2.756
Rh 4.602 2.756 4.602
Rh 2.756 2.756 2.756
CELL_PARAMETERS angstrom
0.000 3.679 3.679
3.679 0.000 3.679
3.679 3.679 0.000
```